<one>
Here is crystalline RbDyW2O8 at its relaxed geometry from the Alexandria database. Energies are from PBE with a Hubbard U.

Properties
Symmetry: No. 164
Volume, Å³ per cell: 254.6

abc: 6.092 6.092 7.920
angles: 90.00 90.00 120.00
Sites, in units of the cell vectors:
Rb: 0.000 0.000 0.000
Dy: 0.000 0.000 0.500
W: 0.333 0.667 0.748
W: 0.667 0.333 0.252
O: 0.169 0.338 0.674
O: 0.169 0.831 0.674
O: 0.333 0.667 0.972
O: 0.338 0.169 0.326
O: 0.662 0.831 0.674
O: 0.667 0.333 0.028
O: 0.831 0.169 0.326
O: 0.831 0.662 0.326

<two>
Here is crystalline RbDyW2O8 at its relaxed geometry from the Alexandria database. Energies are from PBE with a Hubbard U.

Properties
Symmetry: No. 14
Volume, Å³ per cell: 765.4

abc: 9.147 10.464 8.076
angles: 90.00 98.08 90.00
Sites, in units of the cell vectors:
Rb: 0.009 0.218 0.074
Rb: 0.009 0.282 0.574
Rb: 0.991 0.718 0.426
Rb: 0.991 0.782 0.926
Dy: 0.434 0.222 0.979
Dy: 0.434 0.278 0.479
Dy: 0.566 0.722 0.521
Dy: 0.566 0.778 0.021
W: 0.282 0.516 0.216
W: 0.282 0.984 0.716
W: 0.340 0.509 0.826
W: 0.340 0.991 0.326
W: 0.660 0.009 0.674
W: 0.660 0.491 0.174
W: 0.718 0.016 0.284
W: 0.718 0.484 0.784
O: 0.111 0.593 0.155
O: 0.111 0.907 0.655
O: 0.177 0.586 0.737
O: 0.177 0.914 0.237
O: 0.232 0.117 0.847
O: 0.232 0.383 0.347
O: 0.276 0.101 0.507
O: 0.276 0.399 0.007
O: 0.345 0.144 0.210
O: 0.345 0.356 0.710
O: 0.370 0.626 0.379
O: 0.370 0.874 0.879
O: 0.410 0.603 0.045
O: 0.410 0.897 0.545
O: 0.492 0.599 0.737
O: 0.492 0.901 0.237
O: 0.508 0.099 0.763
O: 0.508 0.401 0.263
O: 0.590 0.103 0.455
O: 0.590 0.397 0.955
O: 0.630 0.126 0.121
O: 0.630 0.374 0.621
O: 0.655 0.644 0.290
O: 0.655 0.856 0.790
O: 0.724 0.601 0.993
O: 0.724 0.899 0.493
O: 0.768 0.617 0.653
O: 0.768 0.883 0.153
O: 0.823 0.086 0.763
O: 0.823 0.414 0.263
O: 0.889 0.093 0.345
O: 0.889 0.407 0.845

It is <one> that is the least stable of them.